# 1
The following is a DFT calculation (PBE-GGA) of a geometry-optimized Rb4Ag2Cl structure.

The space group is I4/mmm (No. 139) and the conventional cell measures 6.577, 6.577 and 16.668 Å, with angles of 90.00, 90.00 and 90.00 degrees. The asymmetric unit holds Rb at (0.000, 0.000, 0.196), Rb at (0.000, 0.500, 0.000), Ag at (0.000, 0.000, 0.412) and Cl at (0.000, 0.000, 0.000).

The value obtained for the raw formation energy is -0.45 eV/atom.



# 2
The following is a DFT calculation (PBE-GGA) of a geometry-optimized ScCuP3 structure.

The space group is Pm-3m (No. 221) and the conventional cell measures 4.500, 4.500 and 4.500 Å, with angles of 90.00, 90.00 and 90.00 degrees. The asymmetric unit holds Sc at (0.000, 0.000, 0.000), Cu at (0.500, 0.500, 0.500) and P at (0.000, 0.500, 0.500).

The formation energy is 129 kJ/mol of formula units.



# 3
The following is a DFT calculation (PBE-GGA) of a geometry-optimized KLi2ReAg structure.

The space group is P4/mmm (No. 123) and the conventional cell measures 5.072, 5.072 and 5.187 Å, with angles of 90.00, 90.00 and 90.00 degrees. The asymmetric unit holds K at (0.000, 0.000, 0.000), Li at (0.000, 0.500, 0.500), Re at (0.500, 0.500, 0.000) and Ag at (0.500, 0.500, 0.500).

The formation energy is 474 kJ/mol of formula units.



# 4
The following is a DFT calculation (PBE-GGA) of a geometry-optimized CsPbBr3 structure.

The space group is Pm-3m (No. 221) and the conventional cell measures 6.440, 6.440 and 6.440 Å, with angles of 90.00, 90.00 and 90.00 degrees. The asymmetric unit holds Cs at (0.000, 0.000, 0.000), Pb at (0.500, 0.500, 0.500) and Br at (0.000, 0.000, 0.500).

The value obtained for the raw formation energy is -0.30 eV/atom.



Q: What is the formula in the third record?
A: KLi2ReAg



What did the fourth record say?
The following is a DFT calculation (PBE-GGA) of a geometry-optimized CsPbBr3 structure.

The space group is Pm-3m (No. 221) and the conventional cell measures 6.440, 6.440 and 6.440 Å, with angles of 90.00, 90.00 and 90.00 degrees. The asymmetric unit holds Cs at (0.000, 0.000, 0.000), Pb at (0.500, 0.500, 0.500) and Br at (0.000, 0.000, 0.500).

The value obtained for the raw formation energy is -0.30 eV/atom.